# SrMn2Tc, relaxed, DFT GGA-PBEsol
data_SrMn2Tc
_chemical_formula_sum 'Sr1 Mn2 Tc1'
_symmetry_space_group_name_H-M 'P 1'
_symmetry_Int_Tables_number 1
_symmetry_space_group_name_Hall 'P 1'
_cell_length_a 4.7476
_cell_length_b 4.7476
_cell_length_c 2.9123
_cell_angle_alpha 90.00
_cell_angle_beta 90.00
_cell_angle_gamma 90.00
loop_
_atom_site_label
_atom_site_type_symbol
_atom_site_fract_x
_atom_site_fract_y
_atom_site_fract_z
Sr1 Sr 0.0000 0.0000 0.0000
Mn1 Mn 0.0000 0.5000 0.5000
Mn2 Mn 0.5000 0.0000 0.5000
Tc1 Tc 0.5000 0.5000 0.0000
# ρ (Mg/m³): 7.48
# Magnetization (μB per formula unit): 5.0
# ΔE to the lowest computed polymorph (meV/atom): 427.0


# Li3Ag, relaxed, DFT GGA-PBEsol
data_Li3Ag
_chemical_formula_sum 'Li3 Ag1'
_symmetry_space_group_name_H-M 'P 1'
_symmetry_Int_Tables_number 1
_symmetry_space_group_name_Hall 'P 1'
_cell_length_a 3.0839
_cell_length_b 3.0839
_cell_length_c 7.2328
_cell_angle_alpha 90.00
_cell_angle_beta 90.00
_cell_angle_gamma 90.00
loop_
_atom_site_label
_atom_site_type_symbol
_atom_site_fract_x
_atom_site_fract_y
_atom_site_fract_z
Li1 Li 0.0000 0.0000 0.0000
Li2 Li 0.5000 0.5000 0.2811
Li3 Li 0.5000 0.5000 0.7189
Ag1 Ag 0.0000 0.0000 0.5000
# ρ (Mg/m³): 3.11
# Magnetization (μB per formula unit): 0.0
# ΔE to the lowest computed polymorph (meV/atom): 25.2


# Nb2CrI, relaxed, DFT GGA-PBEsol
data_Nb2CrI
_chemical_formula_sum 'Nb2 Cr1 I1'
_symmetry_space_group_name_H-M 'P 1'
_symmetry_Int_Tables_number 1
_symmetry_space_group_name_Hall 'P 1'
_cell_length_a 4.5995
_cell_length_b 4.5995
_cell_length_c 4.5995
_cell_angle_alpha 60.00
_cell_angle_beta 60.00
_cell_angle_gamma 60.00
loop_
_atom_site_label
_atom_site_type_symbol
_atom_site_fract_x
_atom_site_fract_y
_atom_site_fract_z
Nb1 Nb 0.2500 0.2500 0.2500
Nb2 Nb 0.7500 0.7500 0.7500
Cr1 Cr 0.0000 0.0000 0.0000
I1 I 0.5000 0.5000 0.5000
# ρ (Mg/m³): 8.80
# Formation energy without anion corrections (eV/atom): 0.715
# Magnetization (μB per formula unit): 1.2